The following is a DFT calculation (PBE) of a relaxed LiAl2Os crystal.

**SG**: C2/m
**DOS(E_F)**: 2.4 states/eV/f.u.
**Distance to the lowest polymorph of the same formula**: 6.22 kcal/mol of atoms
**Crystal system**: monoclinic
**Final energy**: -42.3 eV for the cell shown
**Formation enthalpy at 0 K**: -0.132 eV per atom

Lattice parameters (Å, degrees): 8.668 2.695 5.049 90.00 96.46 90.00
Positions (direct):
Li: 0.000 0.000 0.000
Li: 0.500 0.500 0.000
Al: 0.239 0.000 0.736
Al: 0.261 0.500 0.264
Al: 0.739 0.500 0.736
Al: 0.761 0.000 0.264
Os: 0.000 0.500 0.500
Os: 0.500 0.000 0.500

The following is a DFT calculation (PBE) of a relaxed Li2AlOs crystal.

**SG**: Cm
**DOS(E_F)**: 2.0 states/eV/f.u.
**Crystal system**: monoclinic
**Final energy**: -37.7 eV for the cell shown
**Formation enthalpy at 0 K**: -0.017 eV per atom

Lattice parameters (Å, degrees): 8.750 2.571 5.128 90.00 94.52 90.00
Positions (direct):
Li: 0.000 0.000 0.000
Li: 0.240 0.000 0.768
Li: 0.500 0.500 0.000
Li: 0.740 0.500 0.768
Al: 0.248 0.500 0.295
Al: 0.748 0.000 0.295
Os: 0.491 0.000 0.496
Os: 0.991 0.500 0.496

The following is a DFT calculation (PBE) of a relaxed LiAlOs2 crystal.

**SG**: Pm
**DOS(E_F)**: 2.6 states/eV/f.u.
**Crystal system**: monoclinic
**Final energy**: -28.0 eV for the cell shown
**Formation enthalpy at 0 K**: 0.022 eV per atom

Lattice parameters (Å, degrees): 2.713 4.097 5.115 90.00 105.10 90.00
Positions (direct):
Li: 0.000 0.000 0.000
Al: 0.249 0.500 0.795
Os: 0.484 0.000 0.498
Os: 0.843 0.500 0.280

The following is a DFT calculation (PBE) of a relaxed LiAl2Os crystal.

**SG**: Cmmm
**DOS(E_F)**: 2.0 states/eV/f.u.
**Distance to the lowest polymorph of the same formula**: 7.72 kcal/mol of atoms
**Crystal system**: orthorhombic
**Final energy**: -41.8 eV for the cell shown
**Formation enthalpy at 0 K**: -0.067 eV per atom

Lattice parameters (Å, degrees): 3.046 4.669 8.668 90.00 90.00 90.00
Positions (direct):
Li: 0.000 0.000 0.000
Li: 0.500 0.500 0.000
Al: 0.000 0.500 0.267
Al: 0.000 0.500 0.733
Al: 0.500 0.000 0.267
Al: 0.500 0.000 0.733
Os: 0.000 0.000 0.500
Os: 0.500 0.500 0.500

The following is a DFT calculation (PBE) of a relaxed LiAl2Os crystal.

**SG**: Cmmm
**DOS(E_F)**: 1.1 states/eV/f.u.
**Distance to the lowest polymorph of the same formula**: 1.50 kcal/mol of atoms
**Crystal system**: orthorhombic
**Final energy**: -44.0 eV for the cell shown
**Formation enthalpy at 0 K**: -0.337 eV per atom

Lattice parameters (Å, degrees): 6.011 6.023 3.043 90.00 90.00 90.00
Positions (direct):
Li: 0.000 0.000 0.000
Li: 0.500 0.500 0.000
Al: 0.250 0.250 0.500
Al: 0.250 0.750 0.500
Al: 0.750 0.250 0.500
Al: 0.750 0.750 0.500
Os: 0.000 0.500 0.000
Os: 0.500 0.000 0.000

The following is a DFT calculation (PBE) of a relaxed LiAlOs3 crystal.

**SG**: Pm-3m
**DOS(E_F)**: 4.3 states/eV/f.u.
**Distance to the lowest polymorph of the same formula**: 10.59 kcal/mol of atoms
**Crystal system**: cubic
**Final energy**: -31.1 eV for the cell shown
**Formation enthalpy at 0 K**: 1.655 eV per atom

Lattice parameters (Å, degrees): 4.470 4.470 4.470 90.00 90.00 90.00
Positions (direct):
Li: 0.000 0.000 0.000
Al: 0.500 0.500 0.500
Os: 0.000 0.500 0.500
Os: 0.500 0.000 0.500
Os: 0.500 0.500 0.000